# RbTlB2 | Alexandria via LeMat-Bulk | PBE | relaxed
# SG = Fm-3m (225)
# Energy relative to the elements = 7.267 eV/f.u.
data_RbTlB2
_space_group_name_H-M_alt 'P 1'
_space_group_IT_number 1
_space_group_name_Hall 'P 1'
_cell_length_a 4.9124
_cell_length_b 4.9124
_cell_length_c 4.9124
_cell_angle_alpha 60.00
_cell_angle_beta 60.00
_cell_angle_gamma 60.00
loop_
_atom_site_label
_atom_site_type_symbol
_atom_site_fract_x
_atom_site_fract_y
_atom_site_fract_z
Rb1 Rb 0.0000 0.0000 0.0000
Tl1 Tl 0.5000 0.5000 0.5000
B1 B 0.2500 0.2500 0.2500
B2 B 0.7500 0.7500 0.7500

=====

# RbTlB3 | Alexandria via LeMat-Bulk | PBE | relaxed
# SG = Pm-3m (221)
# Energy relative to the elements = 15.624 eV/f.u.
data_RbTlB3
_space_group_name_H-M_alt 'P 1'
_space_group_IT_number 1
_space_group_name_Hall 'P 1'
_cell_length_a 5.2684
_cell_length_b 5.2684
_cell_length_c 5.2684
_cell_angle_alpha 90.00
_cell_angle_beta 90.00
_cell_angle_gamma 90.00
loop_
_atom_site_label
_atom_site_type_symbol
_atom_site_fract_x
_atom_site_fract_y
_atom_site_fract_z
Rb1 Rb 0.0000 0.0000 0.0000
Tl1 Tl 0.5000 0.5000 0.5000
B1 B 0.0000 0.0000 0.5000
B2 B 0.0000 0.5000 0.0000
B3 B 0.5000 0.0000 0.0000

=====

# RbTlB | Alexandria via LeMat-Bulk | PBE | relaxed
# SG = P1 (1)
# Energy relative to the elements = 0.620 eV/f.u.
data_RbTlB
_space_group_name_H-M_alt 'P 1'
_space_group_IT_number 1
_space_group_name_Hall 'P 1'
_cell_length_a 3.2633
_cell_length_b 7.3555
_cell_length_c 8.2909
_cell_angle_alpha 63.67
_cell_angle_beta 89.96
_cell_angle_gamma 89.90
loop_
_atom_site_label
_atom_site_type_symbol
_atom_site_fract_x
_atom_site_fract_y
_atom_site_fract_z
Rb1 Rb 0.0000 0.0000 0.0000
Rb2 Rb 0.9999 0.3009 0.3965
Tl1 Tl 0.4997 0.5015 0.9252
Tl2 Tl 0.4995 0.7271 0.4724
B1 B 0.2385 0.8742 0.6985
B2 B 0.7270 0.8754 0.6985

=====

# RbTlB | Alexandria via LeMat-Bulk | PBE | relaxed
# SG = P1 (1)
# Energy relative to the elements = 1.289 eV/f.u.
data_RbTlB
_space_group_name_H-M_alt 'P 1'
_space_group_IT_number 1
_space_group_name_Hall 'P 1'
_cell_length_a 5.7614
_cell_length_b 6.3600
_cell_length_c 6.9753
_cell_angle_alpha 110.89
_cell_angle_beta 114.27
_cell_angle_gamma 90.11
loop_
_atom_site_label
_atom_site_type_symbol
_atom_site_fract_x
_atom_site_fract_y
_atom_site_fract_z
Rb1 Rb 0.0000 0.0000 0.0000
Rb2 Rb 0.2118 0.6830 0.4246
Tl1 Tl 0.4850 0.4778 0.9702
Tl2 Tl 0.7650 0.2396 0.5317
B1 B 0.1447 0.2327 0.5567
B2 B 0.4098 0.2326 0.5563

=====

# Rb3TlB | Alexandria via LeMat-Bulk | PBE | relaxed
# SG = Pm-3m (221)
# Energy relative to the elements = 4.106 eV/f.u.
data_Rb3TlB
_space_group_name_H-M_alt 'P 1'
_space_group_IT_number 1
_space_group_name_Hall 'P 1'
_cell_length_a 6.4287
_cell_length_b 6.4287
_cell_length_c 6.4287
_cell_angle_alpha 90.00
_cell_angle_beta 90.00
_cell_angle_gamma 90.00
loop_
_atom_site_label
_atom_site_type_symbol
_atom_site_fract_x
_atom_site_fract_y
_atom_site_fract_z
Rb1 Rb 0.0000 0.0000 0.5000
Rb2 Rb 0.0000 0.5000 0.0000
Rb3 Rb 0.5000 0.0000 0.0000
Tl1 Tl 0.5000 0.5000 0.5000
B1 B 0.0000 0.0000 0.0000

=====

# RbTlB | Alexandria via LeMat-Bulk | PBE | relaxed
# SG = P2/m (10)
# Energy relative to the elements = 0.678 eV/f.u.
data_RbTlB
_space_group_name_H-M_alt 'P 1'
_space_group_IT_number 1
_space_group_name_Hall 'P 1'
_cell_length_a 6.9929
_cell_length_b 3.2684
_cell_length_c 7.5045
_cell_angle_alpha 90.00
_cell_angle_beta 92.50
_cell_angle_gamma 90.00
loop_
_atom_site_label
_atom_site_type_symbol
_atom_site_fract_x
_atom_site_fract_y
_atom_site_fract_z
Rb1 Rb 0.2432 0.0000 0.1681
Rb2 Rb 0.7568 0.0000 0.8319
Tl1 Tl 0.1886 0.5000 0.6687
Tl2 Tl 0.8114 0.5000 0.3313
B1 B 0.5000 0.2562 0.5000
B2 B 0.5000 0.7438 0.5000

=====

# RbTlB | Alexandria via LeMat-Bulk | PBE | relaxed
# SG = P-1 (2)
# Energy relative to the elements = 1.307 eV/f.u.
data_RbTlB
_space_group_name_H-M_alt 'P 1'
_space_group_IT_number 1
_space_group_name_Hall 'P 1'
_cell_length_a 5.3825
_cell_length_b 5.8912
_cell_length_c 7.4082
_cell_angle_alpha 104.43
_cell_angle_beta 110.78
_cell_angle_gamma 90.04
loop_
_atom_site_label
_atom_site_type_symbol
_atom_site_fract_x
_atom_site_fract_y
_atom_site_fract_z
Rb1 Rb 0.1531 0.1820 0.3122
Rb2 Rb 0.8469 0.8180 0.6878
Tl1 Tl 0.4415 0.2386 0.8799
Tl2 Tl 0.5585 0.7614 0.1201
B1 B 0.1453 0.5000 0.9999
B2 B 0.8547 0.5000 0.0001

=====

# RbTlB | Alexandria via LeMat-Bulk | PBE | relaxed
# SG = Pm (6)
# Energy relative to the elements = 0.607 eV/f.u.
data_RbTlB
_space_group_name_H-M_alt 'P 1'
_space_group_IT_number 1
_space_group_name_Hall 'P 1'
_cell_length_a 3.2443
_cell_length_b 6.1203
_cell_length_c 8.9722
_cell_angle_alpha 90.00
_cell_angle_beta 90.64
_cell_angle_gamma 90.00
loop_
_atom_site_label
_atom_site_type_symbol
_atom_site_fract_x
_atom_site_fract_y
_atom_site_fract_z
Rb1 Rb 0.0000 0.0000 0.0000
Rb2 Rb 0.0233 0.5000 0.6233
Tl1 Tl 0.5125 0.5000 0.2475
Tl2 Tl 0.5174 0.0000 0.4080
B1 B 0.2455 0.5000 0.9638
B2 B 0.7380 0.5000 0.9626

=====

# RbZr2TlB | Alexandria via LeMat-Bulk | PBE | relaxed
# SG = P4/mmm (123)
# Energy relative to the elements = 8.482 eV/f.u.
data_RbZr2TlB
_space_group_name_H-M_alt 'P 1'
_space_group_IT_number 1
_space_group_name_Hall 'P 1'
_cell_length_a 5.7311
_cell_length_b 5.7311
_cell_length_c 4.2544
_cell_angle_alpha 90.00
_cell_angle_beta 90.00
_cell_angle_gamma 90.00
loop_
_atom_site_label
_atom_site_type_symbol
_atom_site_fract_x
_atom_site_fract_y
_atom_site_fract_z
Rb1 Rb 0.0000 0.0000 0.0000
Zr1 Zr 0.0000 0.5000 0.5000
Zr2 Zr 0.5000 0.0000 0.5000
Tl1 Tl 0.5000 0.5000 0.5000
B1 B 0.5000 0.5000 0.0000

=====

# RbV2B | Alexandria via LeMat-Bulk | PBE | relaxed
# SG = Fd-3m (227)
# Energy relative to the elements = 4.345 eV/f.u.
data_RbV2B
_space_group_name_H-M_alt 'P 1'
_space_group_IT_number 1
_space_group_name_Hall 'P 1'
_cell_length_a 6.6583
_cell_length_b 6.6583
_cell_length_c 6.6583
_cell_angle_alpha 60.00
_cell_angle_beta 60.00
_cell_angle_gamma 60.00
loop_
_atom_site_label
_atom_site_type_symbol
_atom_site_fract_x
_atom_site_fract_y
_atom_site_fract_z
Rb1 Rb 0.1250 0.1250 0.1250
Rb2 Rb 0.8750 0.8750 0.8750
V1 V 0.0000 0.5000 0.5000
V2 V 0.5000 0.0000 0.5000
V3 V 0.5000 0.5000 0.0000
V4 V 0.5000 0.5000 0.5000
B1 B 0.3750 0.3750 0.3750
B2 B 0.6250 0.6250 0.6250

=====

# Rb2VB | Alexandria via LeMat-Bulk | PBE | relaxed
# SG = I-42d (122)
# Energy relative to the elements = 4.287 eV/f.u.
data_Rb2VB
_space_group_name_H-M_alt 'P 1'
_space_group_IT_number 1
_space_group_name_Hall 'P 1'
_cell_length_a 9.2142
_cell_length_b 9.2142
_cell_length_c 9.2142
_cell_angle_alpha 93.05
_cell_angle_beta 93.05
_cell_angle_gamma 153.33
loop_
_atom_site_label
_atom_site_type_symbol
_atom_site_fract_x
_atom_site_fract_y
_atom_site_fract_z
Rb1 Rb 0.3750 0.1834 0.3084
Rb2 Rb 0.8166 0.1250 0.1916
Rb3 Rb 0.8750 0.0666 0.6916
Rb4 Rb 0.9334 0.6250 0.8084
V1 V 0.2500 0.7500 0.5000
V2 V 0.5000 0.5000 0.0000
B1 B 0.0000 0.0000 0.0000
B2 B 0.7500 0.2500 0.5000

=====

# RbVB3 | Alexandria via LeMat-Bulk | PBE | relaxed
# SG = Pm-3m (221)
# Energy relative to the elements = 17.906 eV/f.u.
data_RbVB3
_space_group_name_H-M_alt 'P 1'
_space_group_IT_number 1
_space_group_name_Hall 'P 1'
_cell_length_a 4.5399
_cell_length_b 4.5399
_cell_length_c 4.5399
_cell_angle_alpha 90.00
_cell_angle_beta 90.00
_cell_angle_gamma 90.00
loop_
_atom_site_label
_atom_site_type_symbol
_atom_site_fract_x
_atom_site_fract_y
_atom_site_fract_z
Rb1 Rb 0.0000 0.0000 0.0000
V1 V 0.5000 0.5000 0.5000
B1 B 0.0000 0.0000 0.5000
B2 B 0.0000 0.5000 0.0000
B3 B 0.5000 0.0000 0.0000

=====

# RbV3B | Alexandria via LeMat-Bulk | PBE | relaxed
# SG = Pm-3m (221)
# Energy relative to the elements = 6.114 eV/f.u.
data_RbV3B
_space_group_name_H-M_alt 'P 1'
_space_group_IT_number 1
_space_group_name_Hall 'P 1'
_cell_length_a 4.5641
_cell_length_b 4.5641
_cell_length_c 4.5641
_cell_angle_alpha 90.00
_cell_angle_beta 90.00
_cell_angle_gamma 90.00
loop_
_atom_site_label
_atom_site_type_symbol
_atom_site_fract_x
_atom_site_fract_y
_atom_site_fract_z
Rb1 Rb 0.0000 0.0000 0.0000
V1 V 0.0000 0.5000 0.5000
V2 V 0.5000 0.0000 0.5000
V3 V 0.5000 0.5000 0.0000
B1 B 0.5000 0.5000 0.5000

=====

# RbV3B | Alexandria via LeMat-Bulk | PBE | relaxed
# SG = Pm-3m (221)
# Energy relative to the elements = 16.447 eV/f.u.
data_RbV3B
_space_group_name_H-M_alt 'P 1'
_space_group_IT_number 1
_space_group_name_Hall 'P 1'
_cell_length_a 4.3955
_cell_length_b 4.3955
_cell_length_c 4.3955
_cell_angle_alpha 90.00
_cell_angle_beta 90.00
_cell_angle_gamma 90.00
loop_
_atom_site_label
_atom_site_type_symbol
_atom_site_fract_x
_atom_site_fract_y
_atom_site_fract_z
Rb1 Rb 0.0000 0.0000 0.0000
V1 V 0.0000 0.0000 0.5000
V2 V 0.0000 0.5000 0.0000
V3 V 0.5000 0.0000 0.0000
B1 B 0.5000 0.5000 0.5000

=====

no.,DOS at the Fermi energy (states/eV/cell)
1,1.0
2,7.1
3,0.6
4,3.8
5,3.8
6,2.0
7,1.3
8,2.3
9,6.1
10,6.5
11,10.3
12,8.6
13,11.0
14,2.4